1.
Compound: Nd3PS6
Source: the Alexandria database
Functional: PBE
Structure: optimized geometry

The structure in POSCAR format:
```
Nd3PS6
1.0
-1.2586 -6.4260 3.0652
2.5210 -3.9376 -7.2197
7.3955 0.6252 4.3474
Nd P S
6 2 12
Cartesian
6.9692 -6.1970 -2.0509 Nd
7.3251 -8.4877 1.8197 Nd
4.9397 -3.8239 0.9998 Nd
3.3160 -7.9678 0.1726 Nd
1.1255 -6.4169 3.6154 Nd
0.7695 -4.1262 -0.2551 Nd
6.4202 -0.6090 2.4036 P
2.7129 -6.7032 -3.3679 P
6.2248 -3.5205 -1.5538 S
5.7973 -6.5445 0.4578 S
7.4627 -2.2602 1.5084 S
4.4553 -7.6992 -2.6021 S
6.9749 -0.8038 4.5434 S
5.5601 -4.3085 3.7003 S
3.4433 -3.6660 -4.3487 S
1.8157 -8.2571 -4.6736 S
4.3621 -1.2245 2.4065 S
1.3548 -6.6635 -1.7041 S
3.0071 -2.4457 -0.6218 S
2.5797 -5.4697 1.3898 S
```

E_form (uncorrected): -1538 meV per atom
Crystal system: orthorhombic
Calculated volume: 523.5 Å³/cell
SG: Cmc2_1 (36)
DOS(E_F): 0.00 states/eV per atom
Magnetization: 0.0 Bohr magnetons per cell

2.
Compound: Nd5PS5
Source: the Alexandria database
Functional: PBE
Structure: optimized geometry

The structure in POSCAR format:
```
Nd5PS5
1.0
5.3467 0.0000 -2.1538
-0.7088 7.9571 -1.7595
-0.2628 -0.5684 7.0609
Nd P S
5 1 5
Cartesian
0.1815 6.3901 0.4505 Nd
0.5548 2.4741 1.3773 Nd
2.6733 0.0000 -1.0769 Nd
3.8202 4.9146 1.7702 Nd
4.1936 0.9986 2.6970 Nd
0.0000 0.0000 0.0000 P
1.1163 4.9482 2.7711 S
1.4678 0.8857 3.6437 S
-0.3544 3.9786 -0.8798 S
2.9073 6.5030 -0.4961 S
3.2588 2.4404 0.3764 S
```

E_form (uncorrected): -1973 meV per atom
Crystal system: monoclinic
Calculated volume: 289.7 Å³/cell
SG: C2/m (12)
DOS(E_F): 0.31 states/eV per atom
Magnetization: 0.0 Bohr magnetons per cell

3.
Compound: NdPS
Source: the Alexandria database
Functional: PBE
Structure: optimized geometry

The structure in POSCAR format:
```
NdPS
1.0
5.5150 0.0000 0.0000
0.0000 5.5777 0.0000
0.0000 0.0000 17.2073
Nd P S
8 8 8
Cartesian
1.3787 2.6968 6.2331 Nd
1.3787 5.4856 2.3706 Nd
4.1362 2.8809 10.9742 Nd
4.1362 0.0921 14.8367 Nd
1.3787 0.0899 11.1422 Nd
1.3787 2.8788 14.6687 Nd
4.1362 5.4878 6.0651 Nd
4.1362 2.6989 2.5386 Nd
0.2421 1.6921 17.1601 P
2.5154 4.4809 8.6509 P
2.9996 3.8856 0.0473 P
5.2729 1.0968 8.5564 P
5.2729 3.8856 0.0473 P
2.9996 1.0968 8.5564 P
2.5154 1.6921 17.1601 P
0.2421 4.4809 8.6509 P
1.3787 2.7040 3.2542 S
1.3787 5.4929 5.3494 S
4.1362 2.8736 13.9531 S
4.1362 0.0848 11.8579 S
1.3787 0.0684 14.0635 S
1.3787 2.8573 11.7475 S
4.1362 5.5092 3.1438 S
4.1362 2.7204 5.4598 S
```

E_form (uncorrected): -1559 meV per atom
Crystal system: orthorhombic
Calculated volume: 529.3 Å³/cell
SG: Pnma (62)
DOS(E_F): 0.04 states/eV per atom
Magnetization: 0.0 Bohr magnetons per cell

4.
Compound: Nd4PS3
Source: the Alexandria database
Functional: PBE
Structure: optimized geometry

The structure in POSCAR format:
```
Nd4PS3
1.0
-1.6172 2.1267 5.1337
3.3183 -3.9191 2.6688
4.4572 3.6893 -0.1242
Nd P S
4 1 3
Cartesian
-0.8086 1.0633 2.5669 Nd
1.6592 -1.9596 1.3344 Nd
2.2286 1.8447 -0.0621 Nd
3.0792 0.9484 3.8391 Nd
0.0000 0.0000 0.0000 P
3.8878 -0.1149 1.2723 S
1.4200 2.9080 2.5047 S
0.8506 -0.8962 3.9013 S
```

E_form (uncorrected): -1947 meV per atom
Crystal system: cubic
Calculated volume: 193.8 Å³/cell
SG: Pm-3m (221)
DOS(E_F): 0.22 states/eV per atom
Magnetization: 0.0 Bohr magnetons per cell

5.
Compound: Nd7P5S
Source: the Alexandria database
Functional: PBE
Structure: optimized geometry

The structure in POSCAR format:
```
Nd7P5S
1.0
-0.9590 3.1065 -2.5258
-4.6392 -5.2789 -1.3757
-15.1352 8.9476 16.7515
Nd P S
14 10 2
Cartesian
-8.3990 -1.1221 1.8089 Nd
-12.3402 7.8928 11.0376 Nd
-2.4334 0.8464 -1.3905 Nd
-18.3076 5.9233 14.2365 Nd
-11.8229 2.0912 7.0611 Nd
-8.9141 4.6810 5.7865 Nd
-4.5151 0.2327 2.0006 Nd
-16.2255 6.5375 10.8460 Nd
-13.9921 5.2177 8.3747 Nd
-6.7461 1.5541 4.4729 Nd
-6.2985 -0.5980 -1.6993 Nd
-14.4422 7.3674 14.5449 Nd
-10.0353 4.7624 9.6677 Nd
-10.7010 2.0095 3.1793 Nd
-15.1389 8.9447 16.7494 P
-16.8058 8.1394 13.0365 P
-3.9353 -1.3695 -0.1901 P
-6.2975 4.3670 4.4068 P
-14.4403 2.4050 8.4408 P
-7.5691 4.4723 8.3745 P
-9.2348 1.7669 5.6795 P
-11.5028 5.0055 7.1685 P
-17.5593 4.2491 11.8932 P
-3.1814 2.5208 0.9530 P
-7.3257 1.5681 1.3548 S
-13.4159 5.2038 11.4942 S
```

E_form (uncorrected): -1471 meV per atom
Crystal system: monoclinic
Calculated volume: 685.8 Å³/cell
SG: C2/m (12)
DOS(E_F): 0.45 states/eV per atom
Magnetization: 0.0 Bohr magnetons per cell

6.
Compound: Nd4P2S
Source: the Alexandria database
Functional: PBE
Structure: optimized geometry

The structure in POSCAR format:
```
Nd4P2S
1.0
-7.8229 0.4209 -0.9898
3.6608 1.3281 -6.8694
2.0090 -7.1943 2.5613
Nd P S
8 4 2
Cartesian
-5.1429 -1.8501 -0.8632 Nd
-2.8753 -2.1882 -4.1906 Nd
1.0464 -1.5845 -2.9581 Nd
2.6656 -5.2677 -2.5839 Nd
-1.3202 -2.5186 0.1386 Nd
0.2990 -6.2018 0.5128 Nd
-3.6022 -5.1772 0.7555 Nd
-1.3346 -5.5153 -2.5720 Nd
-4.2432 -0.0856 -2.9982 P
2.5031 -3.2291 -4.6574 P
0.6727 -3.8932 -1.2227 P
-3.2387 -3.6827 -1.7176 P
-0.6636 -0.5920 -5.0067 S
0.0000 0.0000 0.0000 S
```

E_form (uncorrected): -1300 meV per atom
Crystal system: tetragonal
Calculated volume: 379.0 Å³/cell
SG: I4_1/amd (141)
DOS(E_F): 0.81 states/eV per atom
Magnetization: 0.0 Bohr magnetons per cell

7.
Compound: Nd3PS2
Source: the Alexandria database
Functional: PBE
Structure: optimized geometry

The structure in POSCAR format:
```
Nd3PS2
1.0
-1.2155 3.5185 -1.7088
-2.7367 -2.9638 -4.1557
-3.1602 -0.3751 6.3845
Nd P S
3 1 2
Cartesian
-2.4999 1.8807 -1.7129 Nd
-4.6126 -1.7011 2.2329 Nd
-2.1878 1.5717 2.3378 Nd
-3.5562 0.0898 0.2600 P
-3.8163 0.3998 -3.8257 S
-3.2961 -0.2202 4.3457 S
```

E_form (uncorrected): -1918 meV per atom
Crystal system: orthorhombic
Calculated volume: 146.8 Å³/cell
SG: Immm (71)
DOS(E_F): 0.36 states/eV per atom
Magnetization: 0.0 Bohr magnetons per cell

8.
Compound: Nd4Sb2PS
Source: the Alexandria database
Functional: PBE
Structure: optimized geometry

The structure in POSCAR format:
```
Nd4Sb2PS
1.0
-3.4795 0.5357 2.4927
-4.4203 -0.4076 -6.0825
-1.9308 -7.1141 -1.1662
Nd Sb P S
4 2 1 1
Cartesian
-4.6802 -5.6566 -5.3172 Nd
-5.1504 -1.3294 0.5612 Nd
-5.4601 -1.8796 -3.4852 Nd
-4.3705 -5.1064 -1.2708 Nd
-1.9308 -7.1141 -1.1662 Sb
-2.7052 -3.2892 0.6632 Sb
-3.1755 -3.7608 -3.6243 P
-3.9499 0.0641 -1.7949 S
```

E_form (uncorrected): -1473 meV per atom
Crystal system: monoclinic
Calculated volume: 228.9 Å³/cell
SG: P2/m (10)
DOS(E_F): 0.21 states/eV per atom
Magnetization: 0.0 Bohr magnetons per cell

9.
Compound: NdScPS
Source: the Alexandria database
Functional: PBE
Structure: optimized geometry

The structure in POSCAR format:
```
NdScPS
1.0
-3.4790 1.5223 0.6330
1.0863 -3.1737 1.8908
4.5292 3.8695 3.8928
Nd Sc P S
1 1 1 1
Cartesian
1.3470 2.7416 3.0277 Nd
1.0637 -2.4696 2.2853 Sc
3.5471 2.1856 4.7513 P
-1.3641 1.5776 2.6319 S
```

E_form (uncorrected): -1690 meV per atom
Crystal system: trigonal
Calculated volume: 86.8 Å³/cell
SG: R3m (160)
DOS(E_F): 0.71 states/eV per atom
Magnetization: 0.1 Bohr magnetons per cell

10.
Compound: Nd6P2SeS3
Source: the Alexandria database
Functional: PBE
Structure: optimized geometry

The structure in POSCAR format:
```
Nd6P2SeS3
1.0
-0.2916 1.5791 3.8005
-6.9973 -4.2521 1.2299
6.5029 -6.4904 0.9563
Nd P Se S
6 2 1 3
Cartesian
-2.1619 -7.5955 2.9901 Nd
-2.0500 -3.6031 3.5793 Nd
1.3759 -1.5679 2.9965 Nd
-1.7957 -1.1609 0.3446 Nd
1.0096 -8.0025 5.6420 Nd
1.2639 -5.5603 2.4073 Nd
-0.5732 -5.8502 4.6263 P
-0.2128 -3.3131 1.3603 P
-0.1458 0.7896 1.9002 Se
-3.6445 -1.3365 2.5152 S
2.9662 -3.7416 4.0218 S
-3.7523 -5.4217 1.9649 S
```

E_form (uncorrected): -1884 meV per atom
Crystal system: monoclinic
Calculated volume: 299.7 Å³/cell
SG: C2/m (12)
DOS(E_F): 0.33 states/eV per atom
Magnetization: 0.0 Bohr magnetons per cell

11.
Compound: Nd6P2Se3S
Source: the Alexandria database
Functional: PBE
Structure: optimized geometry

The structure in POSCAR format:
```
Nd6P2Se3S
1.0
-1.0661 -3.0566 -2.6127
6.0769 2.4242 -5.3158
4.6085 -4.5886 6.7996
Nd P Se S
6 2 3 1
Cartesian
8.2247 -1.9177 -1.1126 Nd
4.3457 -2.2438 -2.4601 Nd
1.3945 -3.3033 -0.0163 Nd
1.5196 0.5150 -1.2225 Nd
8.0996 -5.7360 0.0937 Nd
5.2735 -2.9772 1.3312 Nd
6.2462 -3.9935 -1.1886 P
3.3730 -1.2275 0.0597 P
2.5054 -0.3162 -3.9642 Se
3.2026 -5.2135 1.4807 Se
6.4166 -0.0075 -2.6096 Se
-0.5331 -1.5283 -1.3063 S
```

E_form (uncorrected): -1840 meV per atom
Crystal system: monoclinic
Calculated volume: 311.7 Å³/cell
SG: C2/m (12)
DOS(E_F): 0.37 states/eV per atom
Magnetization: 0.0 Bohr magnetons per cell

12.
Compound: Nd6P3Se2S
Source: the Alexandria database
Functional: PBE
Structure: optimized geometry

The structure in POSCAR format:
```
Nd6P3Se2S
1.0
4.1613 0.0000 0.0000
0.0000 8.3893 0.2425
-2.0807 -2.4779 8.7971
Nd P Se S
6 3 2 1
Cartesian
0.0000 6.1408 6.0646 Nd
2.0807 4.1822 2.9990 Nd
2.0807 -0.2295 2.9750 Nd
2.0807 -0.3326 8.7825 Nd
0.0000 6.2440 0.2570 Nd
0.0000 1.7291 6.0406 Nd
2.0807 4.1946 0.1212 P
2.0807 -0.2588 5.8931 P
0.0000 6.1701 3.1465 P
2.0807 3.9370 6.0311 Se
0.0000 1.9743 3.0085 Se
2.0807 0.0000 0.0000 S
```

E_form (uncorrected): -1796 meV per atom
Crystal system: monoclinic
Calculated volume: 309.6 Å³/cell
SG: C2/m (12)
DOS(E_F): 0.37 states/eV per atom
Magnetization: 0.0 Bohr magnetons per cell

13.
Compound: Nd4PSeS2
Source: the Alexandria database
Functional: PBE
Structure: optimized geometry

The structure in POSCAR format:
```
Nd4PSeS2
1.0
-2.2637 3.2100 -1.2469
-5.9386 -3.4462 1.9093
-1.5557 1.5765 6.8826
Nd P Se S
4 1 1 2
Cartesian
-5.6383 -1.4533 6.4942 Nd
-4.1196 2.7937 1.0507 Nd
-5.9842 -0.5597 2.6128 Nd
-3.7737 1.9001 4.9321 Nd
-3.7471 -0.9348 4.3960 P
-5.6568 1.4584 7.2137 Se
-1.5557 1.5765 6.8826 S
-1.9097 2.3932 2.8178 S
```

E_form (uncorrected): -1899 meV per atom
Crystal system: monoclinic
Calculated volume: 200.5 Å³/cell
SG: P2/m (10)
DOS(E_F): 0.34 states/eV per atom
Magnetization: 0.0 Bohr magnetons per cell

14.
Compound: Nd4P2SeS
Source: the Alexandria database
Functional: PBE
Structure: optimized geometry

The structure in POSCAR format:
```
Nd4P2SeS
1.0
-1.0205 -0.5326 -5.7677
2.0080 -5.5259 0.1550
-5.9440 1.0809 3.9506
Nd P Se S
4 2 1 1
Cartesian
0.9504 -2.7821 0.0888 Nd
-4.3927 -4.6922 1.2105 Nd
-2.3227 -4.0361 -2.2150 Nd
-2.6338 -0.9415 0.5529 Nd
-1.7211 -3.7371 0.6496 P
0.0000 0.0000 0.0000 P
0.4937 -3.0293 -2.8063 Se
-3.2354 -1.2405 -2.3117 S
```

E_form (uncorrected): -1801 meV per atom
Crystal system: tetragonal
Calculated volume: 204.1 Å³/cell
SG: I-4m2 (119)
DOS(E_F): 0.32 states/eV per atom
Magnetization: 0.0 Bohr magnetons per cell

15.
Compound: Nd6PSe3S2
Source: the Alexandria database
Functional: PBE
Structure: optimized geometry

The structure in POSCAR format:
```
Nd6PSe3S2
1.0
7.1766 -0.0029 0.0014
-3.5891 6.2147 0.0014
-1.1953 -2.0697 6.9092
Nd P Se S
6 1 3 2
Cartesian
3.5702 2.0997 5.3315 Nd
2.4076 4.1687 1.5785 Nd
-1.1780 2.0424 1.5805 Nd
0.0344 4.1417 5.3315 Nd
-0.0154 -0.0266 5.3334 Nd
2.3578 0.0004 1.5805 Nd
0.0000 0.0000 0.0000 P
-2.3891 4.1417 3.4560 Se
4.7813 0.0005 3.4560 Se
1.1961 2.0711 3.4560 Se
-0.0016 4.1428 0.0014 S
3.5892 2.0690 0.0014 S
```

E_form (uncorrected): -1897 meV per atom
Crystal system: monoclinic
Calculated volume: 308.1 Å³/cell
SG: C2/m (12)
DOS(E_F): 0.44 states/eV per atom
Magnetization: 0.0 Bohr magnetons per cell

16.
Compound: Nd3PSeS
Source: the Alexandria database
Functional: PBE
Structure: optimized geometry

The structure in POSCAR format:
```
Nd3PSeS
1.0
-3.4517 -2.3551 0.0461
4.5942 -6.7663 -1.6709
-1.1452 1.9171 12.1845
Nd P Se S
6 2 2 2
Cartesian
2.5614 -5.5461 3.1548 Nd
1.5477 -7.8285 0.0570 Nd
-0.6963 -4.5263 0.7370 Nd
-2.5641 -1.6582 7.4049 Nd
0.6936 -2.6780 9.8227 Nd
-1.5503 0.6242 10.5028 Nd
2.1574 -5.0079 0.4015 P
-2.1601 -2.1964 10.1583 P
0.1115 -5.5442 9.2127 Se
-0.1142 -1.6600 1.3470 Se
2.7511 -5.7689 5.9697 S
-2.7537 -1.4354 4.5901 S
```

E_form (uncorrected): -1578 meV per atom
Crystal system: monoclinic
Calculated volume: 400.9 Å³/cell
SG: P2_1/m (11)
DOS(E_F): 0.58 states/eV per atom
Magnetization: 1.2 Bohr magnetons per cell

17.
Compound: Nd6SiP2S3
Source: the Alexandria database
Functional: PBE
Structure: optimized geometry

The structure in POSCAR format:
```
Nd6SiP2S3
1.0
-1.3478 -3.2174 2.2511
-1.2025 -4.3597 -6.9509
9.2062 -0.3851 1.1334
Nd Si P S
6 1 2 3
Cartesian
4.6058 -5.3150 -4.8386 Nd
1.5037 -4.8040 -2.1375 Nd
2.0501 -2.6472 1.2722 Nd
-0.2795 -1.0914 -1.7272 Nd
6.9354 -6.8708 -1.8392 Nd
5.1523 -3.1582 -1.4289 Nd
-0.6739 -1.6087 1.1256 Si
4.2007 -5.8362 -1.9980 P
2.4552 -2.1260 -1.5685 P
-1.2751 -3.7885 -2.3499 S
4.8039 -3.6691 1.4604 S
1.8520 -4.2931 -5.0269 S
```

E_form (uncorrected): -1686 meV per atom
Crystal system: monoclinic
Calculated volume: 303.2 Å³/cell
SG: C2/m (12)
DOS(E_F): 0.32 states/eV per atom
Magnetization: 0.0 Bohr magnetons per cell

18.
Compound: Nd6SiP3S2
Source: the Alexandria database
Functional: PBE
Structure: optimized geometry

The structure in POSCAR format:
```
Nd6SiP3S2
1.0
4.1515 0.0000 0.0000
0.0000 8.3263 0.3049
-2.0758 -2.3921 8.7440
Nd Si P S
6 1 3 2
Cartesian
0.0000 6.0700 6.0956 Nd
2.0758 4.1108 3.0595 Nd
2.0758 -0.1359 2.9534 Nd
2.0758 -0.2855 8.8208 Nd
0.0000 6.2197 0.2282 Nd
0.0000 1.8233 5.9895 Nd
2.0758 0.0000 0.0000 Si
2.0758 4.1631 0.1525 P
2.0758 -0.1909 5.8632 P
0.0000 6.1251 3.1857 P
2.0758 3.9303 5.9948 S
0.0000 2.0039 3.0541 S
```

E_form (uncorrected): -1595 meV per atom
Crystal system: monoclinic
Calculated volume: 305.3 Å³/cell
SG: C2/m (12)
DOS(E_F): 0.20 states/eV per atom
Magnetization: 0.0 Bohr magnetons per cell

19.
Compound: Nd6Si2PS3
Source: the Alexandria database
Functional: PBE
Structure: optimized geometry

The structure in POSCAR format:
```
Nd6Si2PS3
1.0
4.1700 0.0000 0.0000
0.0000 8.3419 0.3072
-2.0850 -2.3988 8.7672
Nd Si P S
6 2 1 3
Cartesian
0.0000 6.0332 6.1514 Nd
2.0850 4.0664 3.0949 Nd
2.0850 -0.0901 2.9231 Nd
0.0000 2.0435 0.0989 Nd
2.0850 3.8996 8.9755 Nd
0.0000 1.8767 5.9795 Nd
2.0850 3.9654 6.0547 Si
0.0000 1.9776 3.0198 Si
2.0850 0.0000 0.0000 P
2.0850 4.1709 0.1536 S
2.0850 -0.2209 5.9100 S
0.0000 6.1639 3.1644 S
```

E_form (uncorrected): -1524 meV per atom
Crystal system: monoclinic
Calculated volume: 308.0 Å³/cell
SG: C2/m (12)
DOS(E_F): 0.20 states/eV per atom
Magnetization: 0.0 Bohr magnetons per cell

20.
Compound: Nd4SiPS2
Source: the Alexandria database
Functional: PBE
Structure: optimized geometry

The structure in POSCAR format:
```
Nd4SiPS2
1.0
-2.0649 -1.8801 -3.0854
6.1892 -2.7131 -2.4889
1.2264 -6.4010 3.0797
Nd Si P S
4 1 1 2
Cartesian
5.5276 -6.8377 0.4672 Nd
-0.1769 -4.1566 -2.9617 Nd
3.8975 -4.5658 -2.6327 Nd
1.4532 -6.4284 0.1382 Nd
3.7078 -4.5571 0.2955 Si
2.0622 -2.2966 -2.7871 P
1.2264 -6.4010 3.0797 S
-0.4192 -4.1406 -0.0028 S
```

E_form (uncorrected): -1611 meV per atom
Crystal system: monoclinic
Calculated volume: 203.7 Å³/cell
SG: P2/m (10)
DOS(E_F): 0.19 states/eV per atom
Magnetization: 0.0 Bohr magnetons per cell